Entry from the Alexandria database: a relaxed TmBeVO4 crystal (PBE+U).

The structure in extended XYZ format:
```
14
Lattice="-2.921 3.278 4.310 2.921 -3.278 4.310 2.921 3.278 -4.310" Properties=species:S:1:pos:R:3 pbc="T T T"
Tm 0.000 0.000 0.000
Tm 0.000 3.278 0.000
Be 2.921 1.639 0.663
Be 0.000 1.639 3.647
V 1.461 1.639 -2.155
V 1.461 -1.639 2.155
O 2.921 -0.232 2.113
O 2.921 3.046 -2.113
O 1.518 1.639 0.020
O 4.324 1.639 0.020
O -1.403 1.639 4.290
O 1.403 1.639 4.290
O 0.000 0.232 6.423
O 0.000 3.510 2.196
```

## Properties
- symmetry = Imma
- ρ (Mg/m³) = 5.89
- spin magnetization (μB per formula unit) = 2.000
- final energy (eV per atom) = -7.635